[1]
Material: Tl2CoSnI
Method: DFT, PBE-GGA
State: optimized geometry

Computed properties:
- Space-group type: P4/mmm
- Energy relative to the elements, uncorrected: -0.0981 eV/atom
- Total moment: 0.00 μB per formula unit
- Uncorrected energy: -17.88 eV for the cell shown
- Volume: 27.5 A^3/atom

a = 5.2754 Å, b = 5.2754 Å, c = 4.9339 Å
α = 90.00°, β = 90.00°, γ = 90.00°
Closest atoms and distances in Å follow each position.
Positions (direct):
1 Co 0.0000 0.0000 0.0000  2 Sn 2.47, 4 Tl 2.64
2 I 0.5000 0.5000 0.5000  8 Tl 3.61, 4 Sn 3.73
3 Tl 0.0000 0.5000 0.0000  2 Co 2.64
4 Tl 0.5000 0.0000 0.0000  2 Co 2.64
5 Sn 0.0000 0.0000 0.5000  2 Co 2.47

***

[2]
Material: TlCoSn2I
Method: DFT, PBE-GGA
State: optimized geometry

Computed properties:
- Space-group type: P4/mmm
- Energy relative to the elements, uncorrected: -0.0668 eV/atom
- Total moment: 0.00 μB per formula unit
- Uncorrected energy: -19.36 eV for the cell shown
- Volume: 26.9 A^3/atom

a = 4.9941 Å, b = 4.9941 Å, c = 5.3913 Å
α = 90.00°, β = 90.00°, γ = 90.00°
Closest atoms and distances in Å follow each position.
Positions (direct):
1 I 0.5000 0.5000 0.5000  4 Tl 3.53, 8 Sn 3.67
2 Sn 0.5000 0.0000 0.0000  2 Co 2.50
3 Sn 0.0000 0.5000 0.0000  2 Co 2.50
4 Co 0.0000 0.0000 0.0000  4 Sn 2.50, 2 Tl 2.70
5 Tl 0.0000 0.0000 0.5000  2 Co 2.70

***

[3]
Material: Zr2CoSnI
Method: DFT, PBE-GGA
State: optimized geometry

Computed properties:
- Space-group type: P4/mmm
- Energy relative to the elements, uncorrected: 0.7463 eV/atom
- Total moment: 0.00 μB per formula unit
- Uncorrected energy: -26.02 eV for the cell shown
- Volume: 25.2 A^3/atom

a = 5.2848 Å, b = 4.5039 Å, c = 5.2848 Å
α = 90.00°, β = 90.00°, γ = 90.00°
Closest atoms and distances in Å follow each position.
Positions (direct):
1 Zr 0.5000 0.0000 0.0000  2 I 2.64
2 Zr 0.0000 0.0000 0.5000  2 I 2.64
3 Co 0.0000 0.5000 0.0000  2 I 2.25
4 Sn 0.5000 0.5000 0.5000  8 Zr 3.47, 4 Co 3.74
5 I 0.0000 0.0000 0.0000  2 Co 2.25

***

[4]
Material: SrCoI
Method: DFT, PBE-GGA
State: optimized geometry

Computed properties:
- Space-group type: P6_3/mmc
- Energy relative to the elements, uncorrected: -0.1538 eV/atom
- Total moment: 0.00 μB per formula unit
- Uncorrected energy: -21.60 eV for the cell shown
- Volume: 24.7 A^3/atom

a = 4.2722 Å, b = 4.2722 Å, c = 9.3881 Å
α = 90.00°, β = 90.00°, γ = 120.00°
Closest atoms and distances in Å follow each position.
Positions (direct):
1 Co 0.3333 0.6667 0.7500  3 I 2.47
2 Co 0.6667 0.3333 0.2500  3 I 2.47
3 I 0.3333 0.6667 0.2500  3 Co 2.47
4 I 0.6667 0.3333 0.7500  3 Co 2.47
5 Sr 0.0000 0.0000 0.5000  6 Co 3.40, 6 I 3.40
6 Sr 0.0000 0.0000 0.0000  6 Co 3.40, 6 I 3.40